1.
DFT (PBE) results for a relaxed structure of BaMg2AlAu.

Lattice parameters (Å, degrees): 5.2344 5.2344 4.9998 90.00 90.00 90.00
Closest atoms and distances in Å follow each position.
Fractional coordinates of all 5 atoms:
Al: 0.0000 0.0000 0.5000  2 Au 2.50
Mg: 0.5000 0.0000 0.0000  2 Au 2.62
Mg: 0.0000 0.5000 0.0000  2 Au 2.62
Ba: 0.5000 0.5000 0.5000  8 Mg 3.62, 4 Al 3.70
Au: 0.0000 0.0000 0.0000  2 Al 2.50, 4 Mg 2.62

Results
Total DFT energy (no corrections) = -2.68 eV per atom
Space-group type = P4/mmm, No. 123
Energy relative to the elements = -0.257 eV/atom



2.
DFT (PBE) results for a relaxed structure of BaMgAlAu2.

Lattice parameters (Å, degrees): 4.5146 4.5146 6.8474 109.25 109.25 90.00
Closest atoms and distances in Å follow each position.
Fractional coordinates of all 5 atoms:
Ba: 0.0000 0.0000 0.0000  8 Au 3.55, 4 Mg 3.78, 4 Al 3.78
Mg: 0.7500 0.2500 0.5000  4 Au 2.70
Au: 0.6276 0.6276 0.2551  2 Al 2.70, 2 Mg 2.70
Au: 0.3724 0.3724 0.7449  2 Mg 2.70, 2 Al 2.70
Al: 0.2500 0.7500 0.5000  4 Au 2.70

Results
Total DFT energy (no corrections) = -3.37 eV per atom
Space-group type = I-4m2, No. 119
Energy relative to the elements = -0.607 eV/atom



3.
DFT (PBE) results for a relaxed structure of BaMgAlAu.

Lattice parameters (Å, degrees): 4.3825 4.3825 12.9167 90.00 90.00 90.00
Closest atoms and distances in Å follow each position.
Fractional coordinates of all 8 atoms:
Al: 0.7500 0.2500 0.0000  4 Au 2.60
Al: 0.2500 0.7500 0.0000  4 Au 2.60
Mg: 0.7500 0.2500 0.5000  4 Mg 3.10
Mg: 0.2500 0.7500 0.5000  4 Mg 3.10
Au: 0.2500 0.2500 0.1078  4 Al 2.60
Au: 0.7500 0.7500 0.8922  4 Al 2.60
Ba: 0.7500 0.7500 0.2352  4 Au 3.51, 4 Al 3.75
Ba: 0.2500 0.2500 0.7648  4 Au 3.51, 4 Al 3.75

Results
Total DFT energy (no corrections) = -2.97 eV per atom
Space-group type = P4/nmm, No. 129
Energy relative to the elements = -0.334 eV/atom



4.
DFT (PBE) results for a relaxed structure of BaMgAl2Au.

Lattice parameters (Å, degrees): 4.5995 4.6909 6.6027 110.81 110.38 90.00
Closest atoms and distances in Å follow each position.
Fractional coordinates of all 5 atoms:
Al: 0.0553 0.0553 0.1105  1 Au 2.65, 2 Al 2.79, 2 Mg 2.84
Al: 0.6938 0.1938 0.3875  2 Au 2.78, 2 Al 2.79
Au: 0.8235 0.8235 0.6470  3 Al 2.65-2.78, 2 Mg 2.73
Mg: 0.1945 0.6945 0.3891  2 Au 2.73, 2 Al 2.84
Ba: 0.4450 0.4450 0.8901  8 Al 3.52-3.69, 4 Au 3.57, 4 Mg 3.67-3.71

Results
Total DFT energy (no corrections) = -3.27 eV per atom
Space-group type = Imm2, No. 44
Energy relative to the elements = -0.410 eV/atom



5.
DFT (PBE) results for a relaxed structure of Ba2MgAl4Au3.

Lattice parameters (Å, degrees): 4.6213 4.6213 11.1247 90.00 90.00 90.00
Closest atoms and distances in Å follow each position.
Fractional coordinates of all 10 atoms:
Al: 0.5000 0.5000 0.0000  4 Au 2.67
Al: 0.0000 0.0000 0.0000  4 Au 2.67
Al: 0.5000 0.0000 0.6403  3 Au 2.67-2.79, 2 Mg 2.79
Al: 0.0000 0.5000 0.3597  3 Au 2.67-2.79, 2 Mg 2.79
Au: 0.0000 0.0000 0.5000  4 Al 2.79
Au: 0.5000 0.0000 0.8804  5 Al 2.67
Au: 0.0000 0.5000 0.1196  5 Al 2.67
Mg: 0.5000 0.5000 0.5000  4 Al 2.79
Ba: 0.5000 0.0000 0.2450  8 Al 3.51-3.57, 6 Au 3.55-3.66, 2 Mg 3.66
Ba: 0.0000 0.5000 0.7550  8 Al 3.51-3.57, 6 Au 3.55-3.66, 2 Mg 3.66

Results
Total DFT energy (no corrections) = -3.51 eV per atom
Space-group type = P-4m2, No. 115
Energy relative to the elements = -0.483 eV/atom



6.
DFT (PBE) results for a relaxed structure of BaMgAlAu6.

Lattice parameters (Å, degrees): 7.4765 9.9589 8.2911 126.91 116.80 90.00
Closest atoms and distances in Å follow each position.
Fractional coordinates of all 18 atoms:
Au: 0.6672 0.3648 0.7480  1 Al 2.59, 2 Au 2.77-2.79, 1 Mg 2.77
Au: 0.3328 0.6352 0.2520  1 Al 2.59, 2 Au 2.77-2.79, 1 Mg 2.77
Au: 0.0808 0.3648 0.7480  1 Al 2.59, 2 Au 2.77-2.79, 1 Mg 2.77
Au: 0.9192 0.6352 0.2520  1 Al 2.59, 2 Au 2.77-2.79, 1 Mg 2.77
Au: 0.3328 0.1168 0.2520  1 Al 2.59, 2 Au 2.77-2.79, 1 Mg 2.77
Au: 0.9192 0.1168 0.2520  1 Al 2.59, 2 Au 2.77-2.79, 1 Mg 2.77
Au: 0.6672 0.8832 0.7480  1 Al 2.59, 2 Au 2.77-2.79, 1 Mg 2.77
Au: 0.5647 0.8147 0.1293  2 Al 2.59, 2 Mg 2.76
Au: 0.4353 0.1853 0.8707  2 Al 2.59, 2 Mg 2.76
Au: 0.9383 0.1883 0.8766  2 Mg 2.78, 4 Au 2.94
Au: 0.0617 0.8117 0.1234  2 Mg 2.78, 4 Au 2.94
Au: 0.0808 0.8832 0.7480  1 Al 2.59, 2 Au 2.77-2.79, 1 Mg 2.77
Mg: 0.5000 0.0000 0.5000  8 Au 2.76-2.78
Mg: 0.0000 0.0000 0.5000  8 Au 2.76-2.78
Ba: 0.7410 0.4910 0.4821  10 Au 3.34-3.61, 2 Al 3.63, 2 Ba 3.74
Ba: 0.2590 0.5090 0.5179  10 Au 3.34-3.61, 2 Al 3.63, 2 Ba 3.74
Al: 0.5000 0.0000 0.0000  6 Au 2.59
Al: 0.5000 0.5000 0.0000  6 Au 2.59

Results
Total DFT energy (no corrections) = -3.34 eV per atom
Space-group type = Imma, No. 74
Energy relative to the elements = -0.350 eV/atom